A.
The following is a PBE-GGA calculation of an optimized crystal structure of SrFeNiTe3, from OQMD via LeMat-Bulk.

## Properties
Magnetization, Bohr magnetons per cell: 5.34
Volume, Å³/cell: 295.7

Unit cell a=7.2475 b=7.2475 c=10.4574 alpha=90.00 beta=90.00 gamma=32.57
Last column: magnetic moment on the atom in μB.
Fractional coordinates of all 12 atoms:
Te1 0.3706 0.3706 0.4631  -0.01
Te2 0.3706 0.3706 0.0369  -0.01
Te3 0.9355 0.9355 0.7500  -0.02
Te4 0.6294 0.6294 0.9631  -0.01
Te5 0.0645 0.0645 0.2500  -0.02
Te6 0.6294 0.6294 0.5369  -0.01
Ni1 0.5424 0.5424 0.7500  0.07
Ni2 0.4576 0.4576 0.2500  0.07
Fe1 0.0000 0.0000 0.5000  2.54
Fe2 0.0000 0.0000 0.0000  2.53
Sr1 0.7636 0.7636 0.2500  0.02
Sr2 0.2364 0.2364 0.7500  0.02

***

B.
The following is a PBE-GGA calculation of an optimized crystal structure of SrFeNiTe3, from OQMD via LeMat-Bulk.

## Properties
Magnetization, Bohr magnetons per cell: 5.43
Volume, Å³/cell: 301.2

Unit cell a=4.1037 b=7.4238 c=10.2881 alpha=90.00 beta=90.00 gamma=73.96
Last column: magnetic moment on the atom in μB.
Fractional coordinates of all 12 atoms:
Te1 0.3710 0.2580 0.9657  0.01
Te2 0.6290 0.7420 0.0343  0.01
Te3 0.6290 0.7420 0.4657  0.00
Te4 0.9316 0.1367 0.2500  0.03
Te5 0.0684 0.8633 0.7500  0.03
Te6 0.3710 0.2580 0.5343  0.00
Ni1 0.0000 0.0000 0.5000  -0.28
Ni2 0.0000 0.0000 0.0000  -0.28
Sr1 0.2398 0.5204 0.2500  0.01
Sr2 0.7602 0.4796 0.7500  0.01
Fe1 0.4596 0.0809 0.7500  2.76
Fe2 0.5404 0.9191 0.2500  2.76

***

Referenced to the most stable arrangement, the calculated values in kJ/mol of atoms are A 0.0; B 4.3.